First-principles (PBE) data for crystalline Th2MnAs3Ir4 at its relaxed geometry, as listed in the Alexandria database.

Final energy   -8.0607 eV per atom
Crystal system   tetragonal
Total moment   2.98 Bohr magnetons per cell
Energy of formation   -0.72 eV per atom

a = 4.170 Å, b = 4.170 Å, c = 10.586 Å
α = 90.00°, β = 90.00°, γ = 90.00°
Positions (direct):
Th1 0.000 0.500 0.249
Th2 0.500 0.000 0.751
Mn1 0.000 0.000 0.500
As1 0.000 0.500 0.862
As2 0.500 0.000 0.138
As3 0.500 0.500 0.500
Ir1 0.000 0.000 0.000
Ir2 0.000 0.500 0.634
Ir3 0.500 0.000 0.366
Ir4 0.500 0.500 0.000